Computed, not measured: crystalline YAlSi2 at its relaxed geometry at the PBE-GGA level of DFT.

Values from the calculation:
Formation energy without anion corrections   -1.46 eV per formula unit
Volume   605.1 Å³/cell

abc: 12.8750 4.1679 11.2753
angles: 90.00 90.00 90.00
With the nearest neighbours (Å) after each atom.
Space group Pnma (No. 62)
Asymmetric unit:
Y 0.0516 0.2500 0.2274  9 Si 2.93-3.25
Y 0.2003 0.7500 0.9662  8 Si 3.01-3.18, 3 Al 3.18-3.31
Al 0.0651 0.2500 0.5544  4 Si 2.52-2.65
Al 0.1893 0.7500 0.6567  5 Si 2.59-2.71, 2 Al 2.87
Si 0.0279 0.2500 0.9642  3 Si 2.32-2.35
Si 0.1089 0.2500 0.7799  2 Si 2.32-2.37
Si 0.1302 0.7500 0.4295  1 Si 2.45, 4 Al 2.52-2.67
Si 0.2116 0.7500 0.2329  2 Si 2.37-2.45, 2 Al 2.59